4
Lattice="3.0545 -1.7825 0.0000 3.0545 1.7825 0.0000 -1.8958 0.0000 6.1309" Properties=species:S:1:pos:R:3 comment="SiRh2Cl, optimized geometry, DFT PBE-GGA" vol_a3_per_cell=66.76 m_tot_mub_per_fu=0.000 total_energy_ev_per_cell=-23.4 raw_formation_energy_ev_per_atom=-0.369 rho_g_cm3=6.70 crystal_system=monoclinic spacegroup="No. 12" relative_energy_mev_per_atom=74.0 dos_at_fermi_per_ev_fu=3.1 pbc="T T T"
Si 0.0000 0.0000 0.0000
Rh 0.1610 0.0000 5.0174
Rh 4.0523 0.0000 1.1136
Cl 2.1066 0.0000 3.0655

***

3
Lattice="-1.4468 1.4468 5.4635 1.4468 -1.4468 5.4635 1.4468 1.4468 -5.4635" Properties=species:S:1:pos:R:3 comment="CdFeRu, optimized geometry, DFT PBE-GGA" vol_a3_per_cell=45.74 m_tot_mub_per_fu=2.192 total_energy_ev_per_cell=-17.9 formation_energy_mev_per_atom=242.4 rho_g_cm3=9.78 crystal_system=tetragonal spacegroup="No. 107" relative_energy_mev_per_atom=0.0 dos_at_fermi_per_ev_fu=2.1 pbc="T T T"
Cd 0.0000 0.0000 0.0000
Fe 0.0000 0.0000 7.4567
Ru 0.0000 0.0000 3.3509

***

8
Lattice="-3.7981 3.7981 2.9396 3.7981 -3.7981 2.9396 3.7981 3.7981 -2.9396" Properties=species:S:1:pos:R:3 comment="Mg2ZnGa, optimized geometry, DFT PBE-GGA" vol_a3_per_cell=169.62 m_tot_mub_per_fu=0.000 total_energy_ev_per_cell=-13.9 formation_energy_mev_per_atom=130.3 rho_g_cm3=3.60 crystal_system=tetragonal spacegroup="No. 122" dos_at_fermi_per_ev_fu=1.6 pbc="T T T"
Mg 1.8991 1.8461 -0.7349
Mg 1.9520 -1.8991 3.6745
Mg 1.8991 1.9520 2.2047
Mg 1.8461 5.6972 0.7349
Zn 0.0000 0.0000 0.0000
Zn 0.0000 3.7981 1.4698
Ga 3.7981 0.0000 1.4698
Ga 0.0000 0.0000 2.9396

***

12
Lattice="-2.5751 5.0819 7.7022 2.5751 -5.0819 7.7022 2.5751 5.0819 -7.7022" Properties=species:S:1:pos:R:3 comment="Nd6DyY5, optimized geometry, DFT PBE-GGA" vol_a3_per_cell=403.18 m_tot_mub_per_fu=0.000 total_energy_ev_per_cell=-65.4 formation_energy_mev_per_atom=14.3 rho_g_cm3=6.06 crystal_system=orthorhombic spacegroup="No. 71" relative_energy_mev_per_atom=5.8 dos_at_fermi_per_ev_fu=16.6 pbc="T T T"
Nd 2.5751 2.5374 -2.5626
Nd 0.0000 2.5337 0.0000
Nd 2.5751 2.5374 2.5626
Nd 0.0000 2.5445 5.1396
Nd 0.0000 7.6301 0.0000
Nd 0.0000 2.5445 10.2648
Dy 2.5751 0.0000 0.0000
Y 0.0000 0.0000 2.5638
Y 2.5751 0.0000 5.1359
Y 0.0000 0.0000 7.7022
Y 0.0000 5.0819 2.5663
Y 0.0000 0.0000 12.8407

***

4
Lattice="2.1089 1.2175 7.4327 -2.1089 1.2175 7.4327 0.0000 -2.4351 7.4327" Properties=species:S:1:pos:R:3 comment="Tb2GeBi, optimized geometry, DFT PBE-GGA" vol_a3_per_cell=114.51 m_tot_mub_per_fu=0.000 total_energy_ev_per_cell=-20.9 formation_energy_mev_per_atom=-776.9 rho_g_cm3=8.69 crystal_system=trigonal spacegroup="No. 166" relative_energy_mev_per_atom=20.2 dos_at_fermi_per_ev_fu=1.9 pbc="T T T"
Tb 0.0000 0.0000 5.3666
Tb 0.0000 0.0000 16.9314
Ge 0.0000 0.0000 11.1490
Bi 0.0000 0.0000 0.0000

***

10
Lattice="6.4648 -1.8165 0.0000 6.4648 1.8165 0.0000 -0.9890 0.0000 12.5462" Properties=species:S:1:pos:R:3 comment="YHo3Cd, optimized geometry, DFT PBE-GGA" vol_a3_per_cell=294.67 m_tot_mub_per_fu=0.306 total_energy_ev_per_cell=-43.4 formation_energy_mev_per_atom=-113.3 rho_g_cm3=7.85 crystal_system=monoclinic spacegroup="No. 12" relative_energy_mev_per_atom=0.0 dos_at_fermi_per_ev_fu=7.1 pbc="T T T"
Y 2.7544 0.0000 3.1799
Y 9.1862 0.0000 9.3663
Ho -0.2461 0.0000 8.6455
Ho 0.9422 0.0000 11.8824
Ho 4.2081 0.0000 6.5176
Ho 7.7325 0.0000 6.0286
Ho 10.9985 0.0000 0.6638
Ho 12.1867 0.0000 3.9007
Cd 4.8493 0.0000 10.9516
Cd 7.0913 0.0000 1.5946

***

15
Lattice="-2.2222 2.2222 16.1839 2.2222 -2.2222 16.1839 2.2222 2.2222 -16.1839" Properties=species:S:1:pos:R:3 comment="RbBa4F10, optimized geometry, DFT PBE-GGA" vol_a3_per_cell=319.67 m_tot_mub_per_fu=1.380 total_energy_ev_per_cell=-79.1 raw_formation_energy_ev_per_atom=-3.449 rho_g_cm3=4.28 crystal_system=tetragonal spacegroup="No. 139" dos_at_fermi_per_ev_fu=28.0 pbc="T T T"
Rb 0.0000 0.0000 0.0000
Ba 0.0000 0.0000 6.5235
Ba 0.0000 0.0000 12.8245
Ba 0.0000 0.0000 19.5432
Ba 0.0000 0.0000 25.8443
F 2.2222 0.0000 1.8669
F 2.2222 0.0000 4.9655
F 2.2222 0.0000 8.0919
F 2.2222 0.0000 11.2184
F 2.2222 0.0000 14.3170
F 0.0000 2.2222 1.8669
F 0.0000 2.2222 4.9655
F 0.0000 2.2222 8.0919
F 0.0000 2.2222 11.2184
F 0.0000 2.2222 14.3170

***

12
Lattice="6.9542 -2.0198 0.0000 6.9542 2.0198 0.0000 -2.0461 0.0000 7.4116" Properties=species:S:1:pos:R:3 comment="BaPrMoN3, optimized geometry, DFT PBE-GGA" vol_a3_per_cell=208.21 m_tot_mub_per_fu=0.000 total_energy_ev_per_cell=-94.4 raw_formation_energy_ev_per_atom=-0.781 rho_g_cm3=6.64 crystal_system=monoclinic spacegroup="No. 12" dos_at_fermi_per_ev_fu=2.0 pbc="T T T"
Ba 1.7952 0.0000 0.5394
Ba 10.0672 0.0000 6.8722
Pr 1.0232 0.0000 4.2377
Pr 10.8392 0.0000 3.1739
Mo 6.2838 0.0000 2.3156
Mo 5.5786 0.0000 5.0960
N -0.5444 0.0000 2.2015
N 3.4685 0.0000 4.7779
N 4.5582 0.0000 1.4844
N 7.3043 0.0000 5.9272
N 8.3939 0.0000 2.6337
N 12.4068 0.0000 5.2101